No. 1
TcHIr2Pt | PBE-GGA | relaxed

Cell: 3.9472 3.9472 3.9406 Å, 90.00 90.00 90.00°
Closest atoms and distances in Å follow each position.
Space group P4/mmm (No. 123)
Symmetry-distinct sites (fractional):
1 Tc 0.0000 0.0000 0.0000 [1 per cell]  2 H 1.97
2 H 0.0000 0.0000 0.5000 [1 per cell]  2 Tc 1.97, 4 Ir 1.97
3 Ir 0.0000 0.5000 0.5000 [2 per cell]  2 H 1.97
4 Pt 0.5000 0.5000 0.0000 [1 per cell]  8 Ir 2.79, 4 Tc 2.79

Results
DOS at the Fermi energy	5.26	states/eV/f.u.
VASP energy	-36.9	eV per formula unit


No. 2
SnBRu | PBE-GGA | relaxed

Cell: 4.0178 4.0122 6.4365 Å, 90.00 90.01 90.00°
Closest atoms and distances in Å follow each position.
Space group P2_1/m (No. 11)
Symmetry-distinct sites (fractional):
1 Sn 0.2488 0.2500 0.3309 [2 per cell]  1 B 2.81, 4 Ru 2.92-2.94
2 B 0.2498 0.2500 0.8942 [2 per cell]  4 Ru 2.12
3 Ru 0.2500 0.7500 0.0009 [2 per cell]  4 B 2.12

Results
energy of formation	0.00	eV/atom
DOS at the Fermi energy	0.53	states/eV/f.u.
VASP energy	-20.0	eV per formula unit